Entry 1:
Crystalline Fe4Ir7Rh at its relaxed geometry, computed with PBE-GGA.

Properties
energy of formation from the pure elements: 40.9 meV/atom

abc: 2.6734 2.6734 25.7803
angles: 90.00 90.00 120.00
Space group P-3m1 (No. 164)
Unique sites:
1 Fe 0.3333 0.6667 0.1686
2 Fe 0.3333 0.6667 0.4185
3 Ir 0.0000 0.0000 0.2485
4 Ir 0.0000 0.0000 0.5000
5 Ir 0.3333 0.6667 0.6608
6 Ir 0.3333 0.6667 0.9110
7 Rh 0.0000 0.0000 0.0000



Entry 2:
Crystalline SbP3N at its relaxed geometry, computed with PBE-GGA.

Properties
formation energy without anion corrections: 2273 meV per atom
offset from the most stable computed form: 1406.1 meV per atom

abc: 5.1265 5.1265 5.1265
angles: 90.00 90.00 90.00
Space group Pm-3m (No. 221)
Unique sites:
1 Sb 0.0000 0.0000 0.0000
2 P 0.0000 0.0000 0.5000
3 N 0.5000 0.5000 0.5000



Entry 3:
Crystalline AcNbGa2 at its relaxed geometry, computed with PBE-GGA.

Properties
energy of formation from the pure elements: -218.4 meV/atom
offset from the most stable computed form: 0.0 meV per atom

abc: 3.6408 3.6408 6.7592
angles: 90.00 90.00 90.00
Space group P4/mmm (No. 123)
Unique sites:
1 Ac 0.0000 0.0000 0.0000
2 Nb 0.0000 0.0000 0.5000
3 Ga 0.5000 0.5000 0.3152



Entry 4:
Crystalline SrFe3Ru at its relaxed geometry, computed with PBE-GGA.

Properties
energy of formation from the pure elements: 844.2 meV/atom
offset from the most stable computed form: 0.0 meV per atom

abc: 4.7327 4.7327 4.7327
angles: 90.00 90.00 90.00
Space group Pm-3m (No. 221)
Unique sites:
1 Sr 0.0000 0.0000 0.0000
2 Fe 0.0000 0.5000 0.5000
3 Ru 0.5000 0.5000 0.5000



Entry 5:
Crystalline ZnCd2Te2 at its relaxed geometry, computed with PBE-GGA.

Properties
formation energy without anion corrections: 147 meV per atom
offset from the most stable computed form: 185.7 meV per atom

abc: 4.8362 4.8362 13.1635
angles: 90.00 90.00 90.00
Space group I4/mmm (No. 139)
Unique sites:
1 Zn 0.0000 0.0000 0.0000
2 Cd 0.0000 0.0000 0.3972
3 Te 0.0000 0.5000 0.2500



Entry 6:
Crystalline AcYAlHg at its relaxed geometry, computed with PBE-GGA.

Properties
energy of formation from the pure elements: -335.2 meV/atom

abc: 7.7402 7.7402 7.7402
angles: 90.00 90.00 90.00
Space group F-43m (No. 216)
Unique sites:
1 Ac 0.0000 0.0000 0.0000
2 Y 0.0000 0.0000 0.5000
3 Al 0.2500 0.2500 0.2500
4 Hg 0.2500 0.2500 0.7500



Entry 7:
Crystalline HfZr2TaN at its relaxed geometry, computed with PBE-GGA.

Properties
formation energy without anion corrections: -653 meV per atom
offset from the most stable computed form: 0.0 meV per atom

abc: 4.5408 4.5408 4.3905
angles: 90.00 90.00 90.00
Space group P4/mmm (No. 123)
Unique sites:
1 Hf 0.0000 0.0000 0.0000
2 Zr 0.0000 0.5000 0.5000
3 Ta 0.5000 0.5000 0.0000
4 N 0.0000 0.0000 0.5000



Entry 8:
Crystalline AcCeOs at its relaxed geometry, computed with PBE-GGA.

Properties
energy of formation from the pure elements: 56.9 meV/atom
offset from the most stable computed form: 140.3 meV per atom

abc: 4.2018 4.2018 39.0287
angles: 90.00 90.00 120.00
Space group R-3m (No. 166, hexagonal axes)
Unique sites:
1 Ac 0.0000 0.0000 0.2068
2 Ce 0.0000 0.0000 0.0492
3 Os 0.0000 0.0000 0.3264



Entry 9:
Crystalline LaY2MgRh at its relaxed geometry, computed with PBE-GGA.

Properties
energy of formation from the pure elements: -254.1 meV/atom
offset from the most stable computed form: 7.5 meV per atom

abc: 5.4479 5.4479 5.4975
angles: 90.00 90.00 90.00
Space group P4/mmm (No. 123)
Unique sites:
1 La 0.0000 0.0000 0.0000
2 Y 0.0000 0.5000 0.5000
3 Mg 0.5000 0.5000 0.0000
4 Rh 0.0000 0.0000 0.5000



Entry 10:
Crystalline ZrCrNi2 at its relaxed geometry, computed with PBE-GGA.

Properties
energy of formation from the pure elements: -106.4 meV/atom

abc: 6.1573 6.1573 6.1573
angles: 90.00 90.00 90.00
Space group Fm-3m (No. 225)
Unique sites:
1 Zr 0.0000 0.0000 0.0000
2 Cr 0.0000 0.0000 0.5000
3 Ni 0.2500 0.2500 0.2500



Entry 11:
Crystalline CeYBr6 at its relaxed geometry, computed with PBE-GGA.

Properties
formation energy without anion corrections: -1797 meV per atom
offset from the most stable computed form: 13.4 meV per atom

abc: 7.1798 7.1798 19.7320
angles: 90.00 90.00 120.00
Space group R-3 (No. 148, hexagonal axes)
Unique sites:
1 Ce 0.0000 0.0000 0.0000
2 Y 0.0000 0.0000 0.5000
3 Br 0.0054 0.3249 0.5816



Entry 12:
Crystalline SbTe2CN at its relaxed geometry, computed with PBE-GGA.

Properties
formation energy without anion corrections: 959 meV per atom
offset from the most stable computed form: 0.0 meV per atom

abc: 6.7121 6.7121 2.6614
angles: 90.00 90.00 90.00
Space group P4/mmm (No. 123)
Unique sites:
1 Sb 0.0000 0.0000 0.0000
2 Te 0.0000 0.5000 0.5000
3 C 0.5000 0.5000 0.5000
4 N 0.5000 0.5000 0.0000



Entry 13:
Crystalline La2AsBr at its relaxed geometry, computed with PBE-GGA.

Properties
formation energy without anion corrections: -1477 meV per atom

abc: 4.3448 4.3448 6.1222
angles: 90.00 90.00 90.00
Space group P4/mmm (No. 123)
Unique sites:
1 La 0.0000 0.0000 0.0000
2 La 0.5000 0.5000 0.5000
3 As 0.0000 0.0000 0.5000
4 Br 0.5000 0.5000 0.0000



Entry 14:
Crystalline Eu2GaAs at its relaxed geometry, computed with PBE-GGA.

Properties
energy of formation from the pure elements: -759.6 meV/atom
offset from the most stable computed form: 0.0 meV per atom

abc: 3.8615 3.8615 6.9384
angles: 90.00 90.00 90.00
Space group P4/mmm (No. 123)
Unique sites:
1 Eu 0.0000 0.0000 0.2322
2 Ga 0.5000 0.5000 0.5000
3 As 0.5000 0.5000 0.0000



Entry 15:
Crystalline Tb6HoEr12 at its relaxed geometry, computed with PBE-GGA.

Properties
energy of formation from the pure elements: 159.9 meV/atom
offset from the most stable computed form: 0.0 meV per atom

abc: 11.7709 11.7709 15.0447
angles: 90.00 90.00 120.00
Space group R-3 (No. 148, hexagonal axes)
Unique sites:
1 Tb 0.0097 0.4222 0.1777
2 Ho 0.0000 0.0000 0.5000
3 Er 0.0194 0.8377 0.6916
4 Er 0.0407 0.8524 0.9154



Entry 16:
Crystalline Li2La2PmIn5 at its relaxed geometry, computed with PBE-GGA.

Properties
energy of formation from the pure elements: -451.5 meV/atom

abc: 10.6103 10.6103 4.5401
angles: 90.00 90.00 90.00
Space group P4/mbm (No. 127)
Unique sites:
1 Li 0.1164 0.3836 0.0000
2 La 0.1777 0.6777 0.0000
3 Pm 0.0000 0.0000 0.0000
4 In 0.0000 0.5000 0.5000
5 In 0.0680 0.2157 0.5000



Entry 17:
Crystalline ZnPH2 at its relaxed geometry, computed with PBE-GGA.

Properties
offset from the most stable computed form: 109.7 meV per atom

abc: 4.1822 5.0555 5.0163
angles: 90.00 90.00 90.00
Space group Imm2 (No. 44)
Unique sites:
1 Zn 0.0000 0.0000 0.0000
2 P 0.0000 0.5000 0.9257
3 H 0.2481 0.5000 0.1297



Entry 18:
Crystalline Ca2In3Ag at its relaxed geometry, computed with PBE-GGA.

Properties
energy of formation from the pure elements: -397.7 meV/atom

abc: 3.6636 4.9820 8.5986
angles: 90.00 90.00 90.00
Space group Pmm2 (No. 25)
Unique sites:
1 Ca 0.0000 0.0000 0.0000
2 Ca 0.0000 0.5000 0.4842
3 In 0.5000 0.0000 0.6489
4 In 0.5000 0.5000 0.1659
5 In 0.5000 0.5000 0.8258
6 Ag 0.5000 0.0000 0.3203



Entry 19:
Crystalline SmTe2Pd at its relaxed geometry, computed with PBE-GGA.

Properties
formation energy without anion corrections: -851 meV per atom
offset from the most stable computed form: 0.0 meV per atom

abc: 4.3104 4.8280 10.6531
angles: 90.00 100.19 90.00
Space group P2_1/m (No. 11)
Unique sites:
1 Sm 0.1992 0.2500 0.3565
2 Te 0.2571 0.2500 0.0654
3 Te 0.3003 0.2500 0.6581
4 Pd 0.1429 0.7500 0.1651



Entry 20:
Crystalline V2ZnGaRe at its relaxed geometry, computed with PBE-GGA.

Properties
energy of formation from the pure elements: 982.4 meV/atom
offset from the most stable computed form: 0.0 meV per atom

abc: 4.6789 4.6789 4.8365
angles: 90.00 90.00 90.00
Space group P4/mmm (No. 123)
Unique sites:
1 V 0.0000 0.5000 0.0000
2 Zn 0.0000 0.0000 0.5000
3 Ga 0.5000 0.5000 0.5000
4 Re 0.5000 0.5000 0.0000



DOS(E_F), record by record: 1.136, 0.966, 0.619, 2.301, 0.308, 1.211, 0.673, 2.333, 1.099, 0.659, 1.017, 0.156, 0.654, 2.450, 1.597, 0.589, 0.069, 0.473, 0.474, 0.892 states/eV/atom
Total moment, record by record: 0.0, 2.6, 0.0, 9.6, 0.0, 0.0, 0.0, 5.0, 0.0, 14.6, 3.0, 0.0, 0.0, 13.9, 0.0, 0.0, 0.0, 0.0, 0.0, 3.4 μB per cell
Raw total energy, record by record: -8.562, -3.462, -5.276, -6.425, -1.731, -3.989, -10.098, -7.034, -5.614, -7.540, -4.601, -4.632, -5.521, -7.816, -4.425, -3.664, -3.165, -2.909, -4.899, -6.015 eV/atom